[1]
Ba2NbSbP: PBEsol geometry, SCAN.

Output
Formation energy without anion corrections   0.46 eV/f.u.
Magnetic moment   0.00 μB/atom

Lattice parameters (Å, degrees): 5.9754 5.9754 4.6794 90.00 90.00 90.00
Closest atoms and distances in Å follow each position.
Element x y z (fractional)
Ba: 0.0000 0.5000 0.0000  2 Nb 2.99
Ba: 0.5000 0.0000 0.0000  2 Nb 2.99
Nb: 0.0000 0.0000 0.0000  2 P 2.34
Sb: 0.5000 0.5000 0.5000  8 Ba 3.79, 4 P 4.23
P: 0.0000 0.0000 0.5000  2 Nb 2.34



[2]
BaScNb2P: PBEsol geometry, SCAN.

Output
Raw total energy   -122.82 eV for the cell shown
Magnetic moment   0.47 μB/atom

Lattice parameters (Å, degrees): 4.7344 4.7344 5.8083 90.00 90.00 90.00
Closest atoms and distances in Å follow each position.
Element x y z (fractional)
Ba: 0.0000 0.0000 0.0000  2 Sc 2.90
Sc: 0.0000 0.0000 0.5000  4 Nb 2.37
Nb: 0.0000 0.5000 0.5000  2 Sc 2.37
Nb: 0.5000 0.0000 0.5000  2 Sc 2.37
P: 0.5000 0.5000 0.0000  4 Ba 3.35, 8 Nb 3.75



[3]
Ba2NbSnP: PBEsol geometry, SCAN.

Output
Raw total energy   -156.93 eV for the cell shown
Magnetic moment   0.98 μB/atom

Lattice parameters (Å, degrees): 6.0519 6.0519 5.0103 90.00 90.00 90.00
Closest atoms and distances in Å follow each position.
Element x y z (fractional)
Ba: 0.0000 0.5000 0.0000  2 P 3.03
Ba: 0.5000 0.0000 0.0000  2 P 3.03
Nb: 0.0000 0.0000 0.5000  8 Ba 3.93, 4 Sn 4.28
Sn: 0.5000 0.5000 0.5000  2 P 2.51
P: 0.5000 0.5000 0.0000  2 Sn 2.51



[4]
BaNb3Pb: PBEsol geometry, SCAN.

Output
Raw total energy   -206.61 eV for the cell shown
Magnetic moment   0.91 μB/atom

Lattice parameters (Å, degrees): 5.2783 5.2783 5.2783 90.00 90.00 90.00
Closest atoms and distances in Å follow each position.
Element x y z (fractional)
Ba: 0.0000 0.0000 0.0000  12 Nb 3.73
Nb: 0.0000 0.5000 0.5000  2 Pb 2.64
Nb: 0.5000 0.0000 0.5000  2 Pb 2.64
Nb: 0.5000 0.5000 0.0000  2 Pb 2.64
Pb: 0.5000 0.5000 0.5000  6 Nb 2.64